A relaxed Au2C crystal, computed with GGA-PBE.

a = 5.334 Å, b = 5.334 Å, c = 5.334 Å
α = 35.13°, β = 35.13°, γ = 35.13°
Fractional positions:
Au  0.758  0.758  0.758
C  0.008  0.008  0.008
Au  0.567  0.567  0.567


A relaxed Au2C crystal, computed with GGA-PBE.

a = 3.272 Å, b = 3.272 Å, c = 9.627 Å
α = 90.00°, β = 90.00°, γ = 120.00°
Fractional positions:
Au  0.333  0.667  0.893
Au  0.667  0.333  0.107
C  0.000  0.000  0.250
Au  0.333  0.667  0.607
Au  0.667  0.333  0.393
C  0.000  0.000  0.750


A relaxed AuC crystal, computed with GGA-PBE.

a = 12.368 Å, b = 12.368 Å, c = 12.368 Å
α = 12.17°, β = 12.17°, γ = 12.17°
Fractional positions:
C  0.667  0.667  0.667
Au  0.118  0.118  0.118
C  0.333  0.333  0.333
Au  0.882  0.882  0.882


A relaxed Au2C crystal, computed with GGA-PBE.

a = 3.326 Å, b = 3.326 Å, c = 4.685 Å
α = 90.00°, β = 90.00°, γ = 120.00°
Fractional positions:
Au  0.667  0.333  0.279
C  0.000  0.000  0.000
Au  0.333  0.667  0.721


Short version: energy of formation from the pure elements = 1388, 1371, 283, 1410 meV/atom, in the order given.
Short version: ΔE to the lowest computed polymorph = 0.537, 0.520, 0.000, 0.559 eV/atom, in the order given.
Short version: VASP energy = -3.871, -3.889, -5.967, -3.850 eV/atom, in the order given.